(1)
! PBE GaTc, optimized geometry; values from VASP
&SYSTEM
  ibrav = 0, nat = 16, ntyp = 2
/
ATOMIC_SPECIES
Ga 69.72 Ga.upf
Tc 98.00 Tc.upf
CELL_PARAMETERS angstrom
8.779 0.000 0.000
0.000 8.779 0.000
0.000 0.000 4.449
ATOMIC_POSITIONS crystal
Ga 0.162 0.273 0.000
Ga 0.162 0.727 0.500
Ga 0.273 0.162 0.500
Ga 0.273 0.838 0.000
Ga 0.727 0.162 0.000
Ga 0.727 0.838 0.500
Ga 0.838 0.273 0.500
Ga 0.838 0.727 0.000
Tc 0.114 0.422 0.500
Tc 0.114 0.578 0.000
Tc 0.422 0.114 0.000
Tc 0.422 0.886 0.500
Tc 0.578 0.114 0.500
Tc 0.578 0.886 0.000
Tc 0.886 0.422 0.000
Tc 0.886 0.578 0.500
! - energy relative to the elements (eV/atom) = 0.3173
! - uncorrected energy (eV per atom) = -6.3792
! - DOS(E_F) (states/eV/cell) = 13.741
! - polymorph energy (0 for the lowest one) (meV/atom) = 492
! - mass density (g/cm3) = 6.50



(2)
! PBE GaTe2N2, optimized geometry; values from VASP
&SYSTEM
  ibrav = 0, nat = 5, ntyp = 3
/
ATOMIC_SPECIES
Ga 69.72 Ga.upf
Te 127.60 Te.upf
N 14.01 N.upf
CELL_PARAMETERS angstrom
4.060 0.000 0.000
0.000 4.060 0.000
0.000 0.000 6.713
ATOMIC_POSITIONS crystal
Ga 0.000 0.000 0.000
Te 0.500 0.500 0.000
Te 0.500 0.500 0.500
N 0.000 0.500 0.500
N 0.500 0.000 0.500
! - uncorrected energy (eV per atom) = -3.9422
! - DOS(E_F) (states/eV/cell) = 2.394
! - polymorph energy (0 for the lowest one) (meV/atom) = 0
! - formation energy without anion corrections (meV per atom) = 1250
! - mass density (g/cm3) = 5.30



(3)
! PBE TbDy2Au, optimized geometry; values from VASP
&SYSTEM
  ibrav = 0, nat = 4, ntyp = 3
/
ATOMIC_SPECIES
Tb 158.93 Tb.upf
Dy 162.50 Dy.upf
Au 196.97 Au.upf
CELL_PARAMETERS angstrom
3.621 0.000 0.000
0.000 3.621 0.000
0.000 0.000 8.473
ATOMIC_POSITIONS crystal
Tb 0.000 0.000 0.000
Dy 0.500 0.500 0.293
Dy 0.500 0.500 0.707
Au 0.000 0.000 0.500
! - energy relative to the elements (eV/atom) = -0.3956
! - uncorrected energy (eV per atom) = -4.6735
! - DOS(E_F) (states/eV/cell) = 5.350
! - polymorph energy (0 for the lowest one) (meV/atom) = 47
! - mass density (g/cm3) = 10.18



(4)
! PBE SrV3I, optimized geometry; values from VASP
&SYSTEM
  ibrav = 0, nat = 5, ntyp = 3
/
ATOMIC_SPECIES
Sr 87.62 Sr.upf
V 50.94 V.upf
I 126.90 I.upf
CELL_PARAMETERS angstrom
4.822 0.000 0.000
0.000 4.822 0.000
0.000 0.000 4.822
ATOMIC_POSITIONS crystal
Sr 0.000 0.000 0.000
V 0.000 0.000 0.500
V 0.000 0.500 0.000
V 0.500 0.000 0.000
I 0.500 0.500 0.500
! - uncorrected energy (eV per atom) = -3.5616
! - DOS(E_F) (states/eV/cell) = 8.670
! - polymorph energy (0 for the lowest one) (meV/atom) = 1268
! - formation energy without anion corrections (meV per atom) = 2556
! - mass density (g/cm3) = 5.44



(5)
! PBE ZnMoCl2, optimized geometry; values from VASP
&SYSTEM
  ibrav = 0, nat = 4, ntyp = 3
/
ATOMIC_SPECIES
Zn 65.41 Zn.upf
Mo 95.94 Mo.upf
Cl 35.45 Cl.upf
CELL_PARAMETERS angstrom
3.035 0.000 0.000
0.000 3.035 0.000
0.000 0.000 8.235
ATOMIC_POSITIONS crystal
Zn 0.000 0.000 0.000
Mo 0.500 0.500 0.765
Cl 0.000 0.000 0.596
Cl 0.500 0.500 0.184
! - uncorrected energy (eV per atom) = -4.0173
! - DOS(E_F) (states/eV/cell) = 1.321
! - polymorph energy (0 for the lowest one) (meV/atom) = 255
! - formation energy without anion corrections (meV per atom) = -68
! - mass density (g/cm3) = 5.08



(6)
! PBE AcPr2Sm3, optimized geometry; values from VASP
&SYSTEM
  ibrav = 0, nat = 12, ntyp = 3
/
ATOMIC_SPECIES
Ac 227.00 Ac.upf
Pr 140.91 Pr.upf
Sm 150.36 Sm.upf
CELL_PARAMETERS angstrom
7.122 0.000 0.000
-3.561 6.168 0.000
0.000 0.000 10.079
ATOMIC_POSITIONS crystal
Ac 0.333 0.667 0.433
Ac 0.667 0.333 0.567
Pr 0.000 0.000 0.000
Pr 0.000 0.000 0.500
Pr 0.333 0.667 0.079
Pr 0.667 0.333 0.921
Sm 0.183 0.365 0.764
Sm 0.183 0.817 0.764
Sm 0.365 0.183 0.236
Sm 0.635 0.817 0.764
Sm 0.817 0.183 0.236
Sm 0.817 0.635 0.236
! - energy relative to the elements (eV/atom) = 0.2182
! - uncorrected energy (eV per atom) = -4.4193
! - DOS(E_F) (states/eV/cell) = 20.277
! - polymorph energy (0 for the lowest one) (meV/atom) = 36
! - mass density (g/cm3) = 7.20